## i
An optimized crystal structure of Zn2ReRh, computed with GGA-PBE.

Space group: No. 139

Geometry as extended XYZ:
```
4
Lattice="-1.932 1.932 3.864 1.932 -1.932 3.864 1.932 1.932 -3.864" Properties=species:S:1:pos:R:3 pbc="T T T"
Zn 1.932 0.000 1.932
Zn 0.000 1.932 1.932
Re 0.000 0.000 0.000
Rh 0.000 0.000 3.864
```

---

## ii
An optimized crystal structure of Zn2ReRh, computed with GGA-PBE.

Space group: No. 65

Geometry as extended XYZ:
```
4
Lattice="1.488 -2.244 0.000 1.488 2.244 0.000 0.000 0.000 8.625" Properties=species:S:1:pos:R:3 pbc="T T T"
Zn 0.000 0.000 2.093
Zn 0.000 0.000 6.532
Re 1.488 0.000 4.313
Rh 1.488 0.000 0.000
```

---

## iii
An optimized crystal structure of Zn2ReRh, computed with GGA-PBE.

Space group: No. 119

Geometry as extended XYZ:
```
4
Lattice="-1.935 1.935 3.799 1.935 -1.935 3.799 1.935 1.935 -3.799" Properties=species:S:1:pos:R:3 pbc="T T T"
Zn 0.000 0.000 0.000
Zn 0.000 1.935 1.900
Re 1.935 0.000 1.900
Rh 0.000 0.000 3.799
```

---

Most stable = ii

---

## i
An optimized crystal structure of Zn2ReRh, computed with GGA-PBE.

Space group: No. 10

Geometry as extended XYZ:
```
4
Lattice="2.697 0.000 0.000 0.000 4.373 0.000 -0.411 0.000 4.889" Properties=species:S:1:pos:R:3 pbc="T T T"
Zn 0.441 0.000 1.216
Zn 1.845 0.000 3.673
Re 1.348 2.186 0.000
Rh -0.205 2.186 2.444
```

---

## ii
An optimized crystal structure of Zn2ReRh, computed with GGA-PBE.

Space group: No. 160

Geometry as extended XYZ:
```
4
Lattice="1.379 0.796 8.963 -1.379 0.796 8.963 0.000 -1.593 8.963" Properties=species:S:1:pos:R:3 pbc="T T T"
Zn 0.000 0.000 0.000
Zn 0.000 0.000 6.557
Re 0.000 0.000 13.258
Rh 0.000 0.000 20.116
```

---

Most stable = ii